*one*
Entry from the Alexandria database: a relaxed structure of La2BePb2 (PBE).

Results
DOS(E_F) = 13.39 states/eV per cell

Unit cell a=4.318 b=4.318 c=17.092 alpha=90.00 beta=90.00 gamma=90.00
Element x y z (fractional)
La (0.000, 0.000, 0.092)
La (0.000, 0.000, 0.908)
La (0.500, 0.500, 0.408)
La (0.500, 0.500, 0.592)
Be (0.000, 0.000, 0.500)
Be (0.500, 0.500, 0.000)
Pb (0.000, 0.500, 0.250)
Pb (0.000, 0.500, 0.750)
Pb (0.500, 0.000, 0.250)
Pb (0.500, 0.000, 0.750)

=====

*two*
Entry from the Alexandria database: a relaxed structure of La2BePb2 (PBE).

Results
DOS(E_F) = 3.40 states/eV per cell

Unit cell a=7.502 b=7.502 c=5.118 alpha=90.00 beta=90.00 gamma=90.00
Element x y z (fractional)
La (0.169, 0.331, 0.000)
La (0.331, 0.831, 0.000)
La (0.669, 0.169, 0.000)
La (0.831, 0.669, 0.000)
Be (0.000, 0.000, 0.500)
Be (0.500, 0.500, 0.500)
Pb (0.145, 0.645, 0.500)
Pb (0.355, 0.145, 0.500)
Pb (0.645, 0.855, 0.500)
Pb (0.855, 0.355, 0.500)

=====

*two* comes first in stability; the runner-up is 0.401 eV/atom higher.

=====

*one*
Entry from the Alexandria database: a relaxed structure of Sr2RhW (PBE).

Results
DOS(E_F) = 2.89 states/eV per cell

Unit cell a=4.848 b=4.848 c=4.330 alpha=90.00 beta=90.00 gamma=90.00
Element x y z (fractional)
Sr (0.000, 0.500, 0.000)
Sr (0.500, 0.000, 0.000)
Rh (0.000, 0.000, 0.500)
W (0.500, 0.500, 0.500)

=====

*two*
Entry from the Alexandria database: a relaxed structure of Sr2RhW (PBE).

Results
DOS(E_F) = 8.81 states/eV per cell

Unit cell a=3.899 b=5.349 c=11.006 alpha=90.00 beta=90.00 gamma=90.00
Element x y z (fractional)
Sr (0.000, 0.000, 0.000)
Sr (0.000, 0.500, 0.219)
Sr (0.500, 0.000, 0.719)
Sr (0.500, 0.500, 0.500)
Rh (0.000, 0.000, 0.430)
Rh (0.500, 0.500, 0.930)
W (0.000, 0.500, 0.806)
W (0.500, 0.000, 0.306)

=====

*two* comes first in stability; the runner-up is 0.518 eV/atom higher.

=====

*one*
Entry from the Alexandria database: a relaxed structure of KBe2Ag (PBE).

Results
DOS(E_F) = 9.47 states/eV per cell

Unit cell a=6.786 b=6.786 c=6.786 alpha=90.00 beta=90.00 gamma=90.00
Element x y z (fractional)
K (0.000, 0.000, 0.000)
K (0.000, 0.500, 0.500)
K (0.500, 0.000, 0.500)
K (0.500, 0.500, 0.000)
Be (0.000, 0.000, 0.500)
Be (0.000, 0.500, 0.000)
Be (0.250, 0.250, 0.750)
Be (0.250, 0.750, 0.250)
Be (0.500, 0.000, 0.000)
Be (0.500, 0.500, 0.500)
Be (0.750, 0.250, 0.250)
Be (0.750, 0.750, 0.750)
Ag (0.250, 0.250, 0.250)
Ag (0.250, 0.750, 0.750)
Ag (0.750, 0.250, 0.750)
Ag (0.750, 0.750, 0.250)

=====

*two*
Entry from the Alexandria database: a relaxed structure of KBe2Ag (PBE).

Results
DOS(E_F) = 9.65 states/eV per cell

Unit cell a=6.687 b=6.687 c=6.687 alpha=90.00 beta=90.00 gamma=90.00
Element x y z (fractional)
K (0.000, 0.000, 0.000)
K (0.000, 0.500, 0.500)
K (0.500, 0.000, 0.500)
K (0.500, 0.500, 0.000)
Be (0.250, 0.250, 0.250)
Be (0.250, 0.250, 0.750)
Be (0.250, 0.750, 0.250)
Be (0.250, 0.750, 0.750)
Be (0.750, 0.250, 0.250)
Be (0.750, 0.250, 0.750)
Be (0.750, 0.750, 0.250)
Be (0.750, 0.750, 0.750)
Ag (0.000, 0.000, 0.500)
Ag (0.000, 0.500, 0.000)
Ag (0.500, 0.000, 0.000)
Ag (0.500, 0.500, 0.500)

=====

*two* comes first in stability; the runner-up is 0.041 eV/atom higher.

=====

*one*
Entry from the Alexandria database: a relaxed structure of Mn2CoBr (PBE).

Results
DOS(E_F) = 5.74 states/eV per cell

Unit cell a=5.500 b=7.175 c=3.040 alpha=90.00 beta=90.00 gamma=90.00
Element x y z (fractional)
Mn (0.250, 0.250, 0.000)
Mn (0.250, 0.750, 0.000)
Mn (0.750, 0.250, 0.000)
Mn (0.750, 0.750, 0.000)
Co (0.000, 0.000, 0.500)
Co (0.500, 0.500, 0.500)
Br (0.000, 0.500, 0.500)
Br (0.500, 0.000, 0.500)

=====

*two*
Entry from the Alexandria database: a relaxed structure of Mn2CoBr (PBE).

Results
DOS(E_F) = 2.84 states/eV per cell

Unit cell a=3.267 b=4.248 c=6.020 alpha=90.00 beta=90.00 gamma=90.00
Element x y z (fractional)
Mn (0.000, 0.000, 0.000)
Mn (0.500, 0.500, 0.088)
Co (0.000, 0.500, 0.811)
Br (0.500, 0.500, 0.505)

=====

*two* comes first in stability; the runner-up is 0.042 eV/atom higher.

=====

*one*
Entry from the Alexandria database: a relaxed structure of ScCrP2 (PBE).

Results
DOS(E_F) = 3.69 states/eV per cell

Unit cell a=3.620 b=3.620 c=9.644 alpha=90.00 beta=90.00 gamma=90.00
Element x y z (fractional)
Sc (0.000, 0.000, 0.000)
Sc (0.500, 0.500, 0.500)
Cr (0.000, 0.500, 0.750)
Cr (0.500, 0.000, 0.250)
P (0.000, 0.000, 0.500)
P (0.000, 0.500, 0.250)
P (0.500, 0.000, 0.750)
P (0.500, 0.500, 0.000)

=====

*two*
Entry from the Alexandria database: a relaxed structure of ScCrP2 (PBE).

Results
DOS(E_F) = 4.54 states/eV per cell

Unit cell a=6.130 b=6.579 c=3.182 alpha=90.00 beta=101.00 gamma=90.00
Element x y z (fractional)
Sc (0.000, 0.000, 0.000)
Sc (0.500, 0.500, 0.000)
Cr (0.000, 0.500, 0.000)
Cr (0.500, 0.000, 0.000)
P (0.250, 0.250, 0.500)
P (0.250, 0.750, 0.500)
P (0.750, 0.250, 0.500)
P (0.750, 0.750, 0.500)

=====

*one* comes first in stability; the runner-up is 0.023 eV/atom higher.

=====

*one*
Entry from the Alexandria database: a relaxed structure of La2Sc (PBE).

Results
DOS(E_F) = 9.99 states/eV per cell

Unit cell a=6.753 b=6.753 c=6.753 alpha=55.48 beta=55.48 gamma=55.48
Element x y z (fractional)
La (0.000, 0.000, 0.000)
La (0.193, 0.500, 0.807)
La (0.500, 0.807, 0.193)
La (0.807, 0.193, 0.500)
Sc (0.329, 0.329, 0.329)
Sc (0.671, 0.671, 0.671)

=====

*two*
Entry from the Alexandria database: a relaxed structure of La2Sc (PBE).

Results
DOS(E_F) = 10.02 states/eV per cell

Unit cell a=3.580 b=3.580 c=17.471 alpha=90.00 beta=90.00 gamma=120.00
Element x y z (fractional)
La (0.000, 0.000, 0.000)
La (0.000, 0.000, 0.317)
La (0.000, 0.000, 0.683)
La (0.667, 0.333, 0.500)
Sc (0.667, 0.333, 0.161)
Sc (0.667, 0.333, 0.839)

=====

*one* comes first in stability; the runner-up is 0.006 eV/atom higher.

=====

*one*
Entry from the Alexandria database: a relaxed structure of PPt3 (PBE).

Results
DOS(E_F) = 3.23 states/eV per cell

Unit cell a=4.712 b=4.712 c=2.790 alpha=90.00 beta=90.00 gamma=90.00
Element x y z (fractional)
P (0.000, 0.000, 0.000)
Pt (0.000, 0.500, 0.500)
Pt (0.500, 0.000, 0.500)
Pt (0.500, 0.500, 0.000)

=====

*two*
Entry from the Alexandria database: a relaxed structure of PPt3 (PBE).

Results
DOS(E_F) = 1.25 states/eV per cell

Unit cell a=3.361 b=3.361 c=6.679 alpha=90.00 beta=90.00 gamma=120.00
Element x y z (fractional)
P (0.000, 0.000, 0.000)
Pt (0.000, 0.000, 0.500)
Pt (0.667, 0.333, 0.208)
Pt (0.667, 0.333, 0.792)

=====

*two* comes first in stability; the runner-up is 0.197 eV/atom higher.

=====

*one*
Entry from the Alexandria database: a relaxed structure of MgScVNi (PBE).

Results
DOS(E_F) = 4.02 states/eV per cell

Unit cell a=4.595 b=3.078 c=5.364 alpha=90.00 beta=111.59 gamma=90.00
Element x y z (fractional)
Mg (0.000, 0.000, 0.000)
Sc (0.209, 0.500, 0.563)
V (0.563, 0.500, 0.145)
Ni (0.650, 0.000, 0.494)

=====

*two*
Entry from the Alexandria database: a relaxed structure of MgScVNi (PBE).

Results
DOS(E_F) = 6.20 states/eV per cell

Unit cell a=10.161 b=2.974 c=5.304 alpha=90.00 beta=119.79 gamma=90.00
Element x y z (fractional)
Mg (0.000, 0.000, 0.000)
Mg (0.500, 0.500, 0.000)
Sc (0.414, 0.000, 0.421)
Sc (0.914, 0.500, 0.421)
V (0.213, 0.000, 0.797)
V (0.713, 0.500, 0.797)
Ni (0.204, 0.500, 0.427)
Ni (0.704, 0.000, 0.427)

=====

*one* comes first in stability; the runner-up is 0.015 eV/atom higher.